Record 1
First-principles (PBE) data for a geometry-optimized CsCd structure, as listed in the Alexandria database.

Output
Energy of formation from the pure elements, eV per atom: -0.030

a b c (Å): 8.2098 8.6737 12.2727
angles (deg): 90.00 90.00 90.00
Closest atoms and distances in Å follow each position.
Space group P2_12_12_1 (No. 19)
Unique sites:
Cs 0.1154 0.2496 0.1378 x4  8 Cd 4.11-4.42
Cs 0.1608 0.2520 0.5301 x4  6 Cd 3.94-4.21, 2 Cs 4.17
Cd 0.1148 0.4246 0.8259 x4  2 Cd 2.98-3.01
Cd 0.1187 0.0772 0.8258 x4  2 Cd 2.98-3.01


Record 2
First-principles (PBE) data for a geometry-optimized Nd2GeN3 structure, as listed in the Alexandria database.

Output
Formation energy without anion corrections, eV per atom: -0.816

a b c (Å): 5.5678 10.9927 11.8676
angles (deg): 90.00 93.21 90.00
Closest atoms and distances in Å follow each position.
Space group C2/c (No. 15)
Unique sites:
Nd 0.2313 0.1125 0.4291 x8  5 N 2.50-2.67
Nd 0.2349 0.2001 0.8534 x8  5 N 2.44-2.71
Ge 0.2303 0.5005 0.3363 x8  4 N 1.87-1.91
N 0.0000 0.0203 0.7500 x4  2 Ge 1.88
N 0.0000 0.4034 0.7500 x4  2 Ge 1.91
N 0.1826 0.3340 0.3677 x8  1 Ge 1.89
N 0.2202 0.1009 0.0368 x8  1 Ge 1.87


Record 3
First-principles (PBE) data for a geometry-optimized Hf2AlC structure, as listed in the Alexandria database.

Output
Energy of formation from the pure elements, eV per atom: -0.669

a b c (Å): 3.2740 3.2740 21.6071
angles (deg): 90.00 90.00 120.00
Closest atoms and distances in Å follow each position.
Space group R-3m (No. 166, hexagonal axes)
Unique sites:
Hf 0.0000 0.0000 0.2245 x6  3 C 2.27
Al 0.0000 0.0000 0.0000 x3  6 Hf 3.02, 6 Al 3.27
C 0.0000 0.0000 0.5000 x3  6 Hf 2.27


Record 4
First-principles (PBE) data for a geometry-optimized K2LiSb2Pt structure, as listed in the Alexandria database.

Output
Formation energy without anion corrections, eV per atom: -0.456

a b c (Å): 6.6270 15.4159 7.0952
angles (deg): 90.00 90.00 90.00
Closest atoms and distances in Å follow each position.
Space group Ibam (No. 72)
Unique sites:
K 0.2317 0.1680 0.0000 x8  5 Sb 3.46-3.77, 2 Li 3.49, 2 Pt 3.61
Li 0.0000 0.0000 0.2500 x4  4 Sb 2.91
Sb 0.2197 0.4119 0.0000 x8  2 Pt 2.67, 2 Li 2.91
Pt 0.0000 0.5000 0.2500 x4  4 Sb 2.67


Record 5
First-principles (PBE) data for a geometry-optimized Nb4Mo2W structure, as listed in the Alexandria database.

Output
Polymorph energy (0 for the lowest one), meV per atom: 0
Energy of formation from the pure elements, eV per atom: 0.255

a b c (Å): 6.3732 6.3732 6.4312
angles (deg): 90.00 90.00 90.00
Closest atoms and distances in Å follow each position.
Space group I4/mmm (No. 139)
Unique sites:
Nb 0.2500 0.2500 0.2500 x8  2 W 2.77, 4 Mo 2.77
Mo 0.0000 0.5000 0.0000 x4  8 Nb 2.77
W 0.0000 0.0000 0.0000 x2  8 Nb 2.77


Record 6
First-principles (PBE) data for a geometry-optimized NaTa2Zn structure, as listed in the Alexandria database.

Output
Energy of formation from the pure elements, eV per atom: 0.928

a b c (Å): 3.8595 3.8595 21.3888
angles (deg): 90.00 90.00 90.00
Closest atoms and distances in Å follow each position.
Space group I-42d (No. 122)
Unique sites:
Na 0.0000 0.0000 0.0000 x4  4 Zn 2.73, 4 Ta 3.02
Ta 0.2393 0.2500 0.6250 x8  4 Ta 2.67-2.79, 2 Zn 2.99
Zn 0.0000 0.0000 0.5000 x4  4 Na 2.73, 4 Ta 2.99


Number 1: size of the total moment 0.00 μB/f.u.. Number 2: size of the total moment 0.00 μB/f.u.. Number 3: size of the total moment 0.00 μB/f.u.. Number 4: size of the total moment 0.00 μB/f.u.. Number 5: size of the total moment 0.00 μB/f.u.. Number 6: size of the total moment 0.00 μB/f.u..